Entry 1:
Compound: LaIn2Se
Source: Alexandria via LeMat-Bulk
Functional: GGA-PBE
Structure: optimized geometry

a b c (Å): 4.229 4.126 8.100
angles (deg): 59.33 90.00 90.00
Element x y z (fractional)
In 0.000 0.939 0.060
In 0.500 0.274 0.225
La 0.000 0.434 0.566
Se 0.500 0.852 0.648

Summary:
* energy: -4.2672 eV/atom
* SG: No. 25
* M_tot: 0.0 μB per cell

---

Entry 2:
Compound: La7In2Ni2
Source: Alexandria via LeMat-Bulk
Functional: GGA-PBE
Structure: optimized geometry

a b c (Å): 7.165 7.243 7.165
angles (deg): 89.99 109.69 90.01
Element x y z (fractional)
La 0.000 0.250 0.500
La 0.500 0.750 0.000
La 0.000 0.750 0.500
La 0.500 0.250 0.000
La 0.000 0.000 0.000
La 0.500 0.777 0.500
La 0.500 0.223 0.500
In 0.827 0.500 0.827
In 0.173 0.500 0.173
Ni 0.718 0.000 0.282
Ni 0.282 0.000 0.718

Summary:
* energy: -4.9244 eV/atom
* SG: No. 65
* energy of formation: -0.24 eV/atom
* M_tot: 0.0 μB per cell

---

Entry 3:
Compound: CaMg2Cd2Pb2
Source: Alexandria via LeMat-Bulk
Functional: GGA-PBE
Structure: optimized geometry

a b c (Å): 4.552 5.327 8.305
angles (deg): 95.19 90.00 115.30
Element x y z (fractional)
Ca 0.000 0.000 0.000
Mg 0.579 0.158 0.686
Mg 0.421 0.842 0.314
Cd 0.136 0.272 0.439
Cd 0.864 0.728 0.561
Pb 0.710 0.420 0.186
Pb 0.290 0.580 0.814

Summary:
* energy: -2.2391 eV/atom
* SG: No. 12
* energy of formation: -0.18 eV/atom
* M_tot: 0.0 μB per cell

---

Among the records above, which one has the highest energy? CaMg2Cd2Pb2

---

Which formula does entry 1 have? LaIn2Se

---

energy of number 1 (LaIn2Se)? -4.2672 eV/atom

---

Which value of energy does entry 2 give? -4.9244 eV/atom